1.
! CrFeNi (GGA-PBEsol, optimized geometry); values from VASP
! * energy above the most stable polymorph in this dataset: 0.22 eV/f.u.
! * size of the total moment: 0.53 Bohr magnetons per cell
! * calculated formation energy: 0.12 eV/atom
! * uncorrected energy: -8.33 eV per atom
&SYSTEM
  ibrav = 0, nat = 3, ntyp = 3
/
ATOMIC_SPECIES
Cr 52.00 Cr.upf
Fe 55.84 Fe.upf
Ni 58.69 Ni.upf
CELL_PARAMETERS angstrom
2.907 0.000 0.000
0.000 2.907 0.000
-1.454 -1.454 3.851
ATOMIC_POSITIONS crystal
Cr 0.007 0.007 0.013
Fe 0.659 0.659 0.318
Ni 0.334 0.334 0.669

=====

2.
! CoAg2BAu (GGA-PBEsol, optimized geometry); values from VASP
! * size of the total moment: 2.17 Bohr magnetons per cell
! * calculated formation energy: 2.00 eV/atom
! * uncorrected energy: -3.06 eV per atom
&SYSTEM
  ibrav = 0, nat = 5, ntyp = 4
/
ATOMIC_SPECIES
Co 58.93 Co.upf
B 10.81 B.upf
Au 196.97 Au.upf
Ag 107.87 Ag.upf
CELL_PARAMETERS angstrom
-4.509 0.948 -0.443
-0.817 -4.667 -1.665
-0.788 -1.544 4.713
ATOMIC_POSITIONS crystal
Co 0.500 0.000 0.000
B 0.500 0.500 0.500
Au 0.000 0.000 0.000
Ag 0.000 0.000 0.500
Ag 0.000 0.500 0.000

=====

3.
! NbZn2CdIr (GGA-PBEsol, optimized geometry); values from VASP
! * size of the total moment: 0.00 Bohr magnetons per cell
! * calculated formation energy: 0.54 eV/atom
! * uncorrected energy: -4.46 eV per atom
&SYSTEM
  ibrav = 0, nat = 5, ntyp = 4
/
ATOMIC_SPECIES
Nb 92.91 Nb.upf
Ir 192.22 Ir.upf
Zn 65.41 Zn.upf
Cd 112.41 Cd.upf
CELL_PARAMETERS angstrom
-4.069 2.028 1.238
-2.230 -4.107 -0.601
0.838 -1.129 4.605
ATOMIC_POSITIONS crystal
Nb 0.000 0.000 0.500
Ir 0.000 0.000 0.000
Zn 0.000 0.500 0.000
Zn 0.500 0.000 0.000
Cd 0.500 0.500 0.500

=====

4.
! LiAu2 (GGA-PBEsol, optimized geometry); values from VASP
! * size of the total moment: 0.00 Bohr magnetons per cell
! * calculated formation energy: -0.35 eV/atom
! * uncorrected energy: -3.62 eV per atom
&SYSTEM
  ibrav = 0, nat = 3, ntyp = 2
/
ATOMIC_SPECIES
Au 196.97 Au.upf
Li 6.94 Li.upf
CELL_PARAMETERS angstrom
2.775 0.000 0.000
0.000 2.775 0.000
-1.387 -1.387 6.053
ATOMIC_POSITIONS crystal
Au 0.343 0.343 0.686
Au 0.657 0.657 0.314
Li 0.000 0.000 0.000

=====

5.
! CsGaPd2Cl (GGA-PBEsol, optimized geometry); values from VASP
! * formation energy (no corrections): -0.1051 eV/atom
! * size of the total moment: 0.00 Bohr magnetons per cell
! * uncorrected energy: -3.75 eV per atom
&SYSTEM
  ibrav = 0, nat = 5, ntyp = 4
/
ATOMIC_SPECIES
Cs 132.91 Cs.upf
Ga 69.72 Ga.upf
Pd 106.42 Pd.upf
Cl 35.45 Cl.upf
CELL_PARAMETERS angstrom
4.643 0.000 0.000
0.000 4.643 0.000
0.000 0.000 7.308
ATOMIC_POSITIONS crystal
Cs 0.000 0.000 0.500
Ga 0.000 0.000 0.000
Pd 0.000 0.500 0.000
Pd 0.500 0.000 0.000
Cl 0.500 0.500 0.500

=====

6.
! GdH9C5N2O8 (GGA-PBEsol, optimized geometry); values from VASP
! * size of the total moment: 6.89 Bohr magnetons per cell
! * uncorrected energy: -7.07 eV per atom
&SYSTEM
  ibrav = 0, nat = 25, ntyp = 5
/
ATOMIC_SPECIES
Gd 157.25 Gd.upf
H 1.01 H.upf
C 12.01 C.upf
N 14.01 N.upf
O 16.00 O.upf
CELL_PARAMETERS angstrom
6.527 0.144 -0.097
1.827 6.475 -0.055
-1.827 -2.453 5.993
ATOMIC_POSITIONS crystal
Gd 0.000 0.947 0.947
H 0.500 0.024 0.024
H 0.112 0.779 0.407
H 0.888 0.407 0.779
H 0.397 0.590 0.161
H 0.603 0.161 0.590
H 0.537 0.681 0.450
H 0.463 0.450 0.681
H 0.829 0.406 0.390
H 0.171 0.390 0.406
C 0.500 0.870 0.870
C 0.952 0.899 0.415
C 0.048 0.415 0.899
C 0.703 0.413 0.239
C 0.297 0.239 0.413
N 0.533 0.576 0.285
N 0.467 0.285 0.576
O 0.668 0.793 0.781
O 0.332 0.781 0.793
O 0.729 0.274 0.046
O 0.271 0.046 0.274
O 0.870 0.954 0.585
O 0.130 0.585 0.954
O 0.866 0.970 0.259
O 0.134 0.259 0.970

=====

7.
! LaScSi (GGA-PBEsol, optimized geometry); values from VASP
! * formation energy (no corrections): -0.3600 eV/atom
! * energy above the most stable polymorph in this dataset: 0.83 eV/f.u.
! * size of the total moment: 0.00 Bohr magnetons per cell
! * uncorrected energy: -6.26 eV per atom
&SYSTEM
  ibrav = 0, nat = 3, ntyp = 3
/
ATOMIC_SPECIES
La 138.91 La.upf
Sc 44.96 Sc.upf
Si 28.09 Si.upf
CELL_PARAMETERS angstrom
-2.071 -2.327 -0.958
-0.154 -1.121 3.056
-4.049 5.808 0.189
ATOMIC_POSITIONS crystal
La 0.025 0.025 0.051
Sc 0.297 0.297 0.594
Si 0.678 0.678 0.356

=====

8.
! YAlIn2 (GGA-PBEsol, optimized geometry); values from VASP
! * size of the total moment: 0.00 Bohr magnetons per cell
! * calculated formation energy: -0.22 eV/atom
! * uncorrected energy: -4.44 eV per atom
&SYSTEM
  ibrav = 0, nat = 4, ntyp = 3
/
ATOMIC_SPECIES
Y 88.91 Y.upf
Al 26.98 Al.upf
In 114.82 In.upf
CELL_PARAMETERS angstrom
3.540 0.000 0.000
0.000 3.887 0.000
0.000 0.000 6.764
ATOMIC_POSITIONS crystal
Y 0.000 0.000 0.510
Al 0.500 0.500 0.776
In 0.000 0.000 0.986
In 0.500 0.500 0.227